Compound: Zr4Rh2N
Source: the Alexandria database
Functional: meta-GGA SCAN
Structure: PBEsol geometry

The final energy is -29.711 eV per atom. The formation energy (no corrections) comes out at -1.19 eV per atom. The calculation puts the calculated density at 8.38 g/cm3.

The space group is Fd-3m (No. 227, origin choice 2) and the conventional cell measures 12.287, 12.287 and 12.287 Å, with angles of 90.00, 90.00 and 90.00 degrees. The distinct sites, in fractional coordinates, are Zr at (0.000, 0.000, 0.000), Zr at (0.058, 0.375, 0.875), Rh at (0.034, 0.034, 0.216) and N at (0.000, 0.000, 0.500).